(1)
{"formula": "Ho4CI4Cl", "functional": "PBE", "state": "relaxed", "lattice": [[9.530, -1.940, 0.000], [9.530, 1.940, 0.000], [-1.696, 0.000, 8.001]], "species": ["C", "Cl", "Ho", "Ho", "Ho", "Ho", "I", "I", "I", "I"], "fractional_positions": [[0.500, 0.500, 0.000], [0.500, 0.500, 0.500], [0.628, 0.628, 0.066], [0.999, 0.999, 0.201], [0.001, 0.001, 0.799], [0.372, 0.372, 0.934], [0.832, 0.832, 0.185], [0.162, 0.162, 0.353], [0.838, 0.838, 0.647], [0.168, 0.168, 0.815]], "total_magnetization_mub_per_atom": 0.000, "sg": "No. 12", "dft_energy_ev_per_atom": -4.729}

---

(2)
{"formula": "Ho4CICl4", "functional": "PBE", "state": "relaxed", "lattice": [[-0.762, 8.623, 0.551], [-2.565, 7.434, 3.660], [7.395, -1.666, 3.650]], "species": ["C", "Cl", "Cl", "Cl", "Cl", "Ho", "Ho", "Ho", "Ho", "I"], "fractional_positions": [[0.500, 0.500, 0.000], [0.829, 0.829, 0.141], [0.167, 0.167, 0.313], [0.833, 0.833, 0.687], [0.171, 0.171, 0.859], [0.645, 0.645, 0.077], [0.000, 0.000, 0.192], [0.000, 0.000, 0.808], [0.355, 0.355, 0.923], [0.500, 0.500, 0.500]], "total_magnetization_mub_per_atom": 0.002, "sg": "No. 12", "dft_energy_ev_per_atom": -5.216}

---

(3)
{"formula": "Ho4CI3Cl2", "functional": "PBE", "state": "relaxed", "lattice": [[-7.240, -5.302, 0.428], [-6.323, -5.440, -3.337], [6.323, -5.439, 1.741]], "species": ["C", "Cl", "Cl", "Ho", "Ho", "Ho", "Ho", "I", "I", "I"], "fractional_positions": [[0.500, 0.500, 0.000], [0.832, 0.832, 0.145], [0.168, 0.168, 0.855], [0.639, 0.639, 0.063], [0.997, 0.997, 0.188], [0.003, 0.003, 0.812], [0.361, 0.361, 0.937], [0.173, 0.173, 0.340], [0.500, 0.500, 0.500], [0.827, 0.827, 0.660]], "total_magnetization_mub_per_atom": 0.033, "sg": "No. 12", "dft_energy_ev_per_atom": -4.896, "e_above_lowest_polymorph_mev_per_atom": 17}

---

(4)
{"formula": "La2Ho2CICl4", "functional": "PBE", "state": "relaxed", "lattice": [[-1.607, 2.975, 8.194], [0.410, -0.321, 8.849], [7.718, 4.244, -2.407]], "species": ["C", "Cl", "Cl", "Cl", "Cl", "Ho", "Ho", "I", "La", "La"], "fractional_positions": [[0.500, 0.500, 0.000], [0.824, 0.824, 0.121], [0.175, 0.175, 0.280], [0.825, 0.825, 0.720], [0.176, 0.176, 0.879], [0.643, 0.643, 0.068], [0.357, 0.357, 0.932], [0.500, 0.500, 0.500], [0.001, 0.001, 0.197], [0.999, 0.999, 0.803]], "total_magnetization_mub_per_atom": 0.001, "sg": "No. 12", "dft_energy_ev_per_atom": -5.311}

---

(5)
{"formula": "Nd2Ho2CI3Cl2", "functional": "PBE", "state": "relaxed", "lattice": [[9.260, -1.981, 0.000], [9.260, 1.981, 0.000], [-1.603, 0.000, 8.658]], "species": ["C", "Cl", "Cl", "Ho", "Ho", "I", "I", "I", "Nd", "Nd"], "fractional_positions": [[0.500, 0.500, 0.000], [0.155, 0.155, 0.277], [0.845, 0.845, 0.723], [0.632, 0.632, 0.061], [0.368, 0.368, 0.939], [0.823, 0.823, 0.175], [0.500, 0.500, 0.500], [0.177, 0.177, 0.825], [0.999, 0.999, 0.195], [0.001, 0.001, 0.805]], "total_magnetization_mub_per_atom": 0.001, "sg": "No. 12", "dft_energy_ev_per_atom": -4.962, "e_above_lowest_polymorph_mev_per_atom": 0}

---

(6)
{"formula": "Nd2Ho2CICl4", "functional": "PBE", "state": "relaxed", "lattice": [[8.604, -1.945, 0.000], [8.604, 1.945, 0.000], [-2.200, 0.000, 8.585]], "species": ["C", "Cl", "Cl", "Cl", "Cl", "Ho", "Ho", "I", "Nd", "Nd"], "fractional_positions": [[0.500, 0.500, 0.000], [0.826, 0.826, 0.128], [0.173, 0.173, 0.290], [0.827, 0.827, 0.710], [0.174, 0.174, 0.872], [0.643, 0.643, 0.070], [0.357, 0.357, 0.930], [0.500, 0.500, 0.500], [0.000, 0.000, 0.196], [0.000, 0.000, 0.804]], "total_magnetization_mub_per_atom": 0.001, "sg": "No. 12", "dft_energy_ev_per_atom": -5.261, "e_above_lowest_polymorph_mev_per_atom": 0}